(1)
# TbTmCdOs

Crystalline TbTmCdOs at its relaxed geometry (PBE-GGA, the Alexandria database).

abc: 3.434 3.434 7.748
angles: 90.00 90.00 90.00
Fractional coordinates of all 4 atoms:
Tb  0.500  0.500  0.783
Tm  0.500  0.500  0.358
Cd  0.000  0.000  0.078
Os  0.000  0.000  0.565

Summary:
Energy of formation from the pure elements   -1.3 eV/f.u.
Space-group type   P4mm (99)
Distance to the lowest polymorph of the same formula   0 meV per atom
Crystal system   tetragonal

(2)
# Cr2FeCu

Crystalline Cr2FeCu at its relaxed geometry (PBE-GGA, the Alexandria database).

abc: 2.415 2.415 8.184
angles: 90.00 90.00 104.30
Fractional coordinates of all 4 atoms:
Cr  0.000  0.000  0.994
Cr  0.000  0.000  0.506
Cu  0.500  0.500  0.250
Fe  0.500  0.500  0.750

Summary:
Energy of formation from the pure elements   0.8 eV/f.u.
Space-group type   Cmmm (65)
Distance to the lowest polymorph of the same formula   53 meV per atom
Crystal system   orthorhombic